This record from Alexandria describes a geometry-optimized La4CoSnPb structure. The functional is PBE-GGA.

DOS(E_F) in states/eV per cell: 9.0
Space group: Cmcm, No. 63
DFT total energy in eV per atom: -5.425

Cell: 7.1511 7.1534 9.5214 Å, 90.00 112.06 90.00°
Last column: nearest neighbours and their distance in Å.
Fractional positions:
Pb  0.3907  0.2500  0.7814  9 La 3.28-3.63
La  0.0000  0.0000  0.5000  2 Co 2.53
La  0.0000  0.5000  0.5000  2 Co 2.53
Co  0.7507  0.2500  0.5013  4 La 2.53
La  0.9258  0.2500  0.8516  1 Co 3.09, 1 Sn 3.27
La  0.0742  0.7500  0.1484  1 Co 3.09, 1 Sn 3.27
La  0.5000  0.5000  0.5000  2 Co 2.53
Sn  0.8888  0.7500  0.7776  9 La 3.27-3.64
Co  0.2493  0.7500  0.4987  4 La 2.53
La  0.5765  0.2500  0.1530  1 Co 3.07, 1 Pb 3.28
Sn  0.1112  0.2500  0.2224  9 La 3.27-3.64
Pb  0.6093  0.7500  0.2186  9 La 3.28-3.63
La  0.4235  0.7500  0.8470  1 Co 3.07, 1 Pb 3.28
La  0.5000  0.0000  0.5000  2 Co 2.53